The following is a GGA+U calculation of FeCuOF2 after structural relaxation, from the Alexandria database.

Cell lengths 3.8776, 3.8776, 3.9242 Å; angles 90.00, 90.00, 90.00 degrees
Closest atoms and distances in Å follow each position.
Positions (direct):
O 0.0000 0.0000 0.5000  2 Cu 1.96
Fe 0.5000 0.5000 0.5000  4 O 2.74, 8 F 2.76
Cu 0.0000 0.0000 0.0000  4 F 1.94, 2 O 1.96
F 0.0000 0.5000 0.0000  2 Cu 1.94
F 0.5000 0.0000 0.0000  2 Cu 1.94

Summary:
excess energy over the best structure of this formula in the dataset = 264 meV/atom
SG = P4/mmm (123)
total moment = 0.809 μB/atom
calculated volume = 59.0 Å³/f.u.
energy = -23.34 eV per cell